A:
This record from the Alexandria database describes a geometry-optimized Y3HfRu structure. The functional is PBE.

The mass density is 6.096 g cm⁻³. Its density of states at the Fermi level is 1.553 states/eV per atom. Its space-group type is Pm-3m (221).

a b c (Å): 5.299 5.299 5.299
angles (deg): 90.00 90.00 90.00
Site moments in Bohr magnetons follow the coordinates.
Atoms (fractional coordinates):
1 Y 0.000 0.500 0.000  0.07
2 Y 0.000 0.000 0.500  0.06
3 Y 0.500 0.000 0.000  0.13
4 Ru 0.000 0.000 0.000  0.01
5 Hf 0.500 0.500 0.500  0.83

---

B:
This record from the Alexandria database describes a geometry-optimized Y3HfRu structure. The functional is PBE.

The mass density is 5.771 g cm⁻³. Its density of states at the Fermi level is 1.502 states/eV per atom. Its space-group type is Pm-3m (221).

a b c (Å): 5.397 5.397 5.397
angles (deg): 90.00 90.00 90.00
Site moments in Bohr magnetons follow the coordinates.
Atoms (fractional coordinates):
1 Y 0.000 0.500 0.000  0.00
2 Y 0.000 0.000 0.500  -0.01
3 Y 0.500 0.000 0.000  -0.02
4 Ru 0.500 0.500 0.500  2.04
5 Hf 0.000 0.000 0.000  0.18

---

In terms of stability, A leads; the second structure lies 1044 meV/atom higher.

---

A:
This record from the Alexandria database describes a geometry-optimized HfZn3Ru structure. The functional is PBE.

The mass density is 6.162 g cm⁻³. Its density of states at the Fermi level is 0.637 states/eV per atom. Its space-group type is Pm-3m (221).

a b c (Å): 5.043 5.043 5.043
angles (deg): 90.00 90.00 90.00
Site moments in Bohr magnetons follow the coordinates.
Atoms (fractional coordinates):
1 Ru 0.500 0.500 0.500  2.46
2 Zn 0.000 0.500 0.000  -0.06
3 Zn 0.000 0.000 0.500  -0.03
4 Zn 0.500 0.000 0.000  -0.05
5 Hf 0.000 0.000 0.000  -0.40

---

B:
This record from the Alexandria database describes a geometry-optimized HfZn3Ru structure. The functional is PBE.

The mass density is 7.981 g cm⁻³. Its density of states at the Fermi level is 0.774 states/eV per atom. Its space-group type is Pm-3m (221).

a b c (Å): 4.626 4.626 4.626
angles (deg): 90.00 90.00 90.00
Site moments in Bohr magnetons follow the coordinates.
Atoms (fractional coordinates):
1 Ru 0.000 0.000 0.000  0.28
2 Zn 0.000 0.500 0.000  0.00
3 Zn 0.000 0.000 0.500  0.00
4 Zn 0.500 0.000 0.000  -0.01
5 Hf 0.500 0.500 0.500  0.22

---

In terms of stability, B leads; the second structure lies 1039 meV/atom higher.